No. 1
{"formula": "TmZn2Si", "functional": "PBE", "state": "relaxed", "energy_ev_per_atom": -3.460, "e_form_raw_ev_per_atom": -0.350, "lattice": [[-3.8838, 1.8840, 0.2812], [-1.7151, -3.2973, -1.5964], [-0.4809, -1.5448, 3.7073]], "species": ["Zn", "Zn", "Tm", "Si"], "frac_coords": [[0.0000, 0.0000, 0.5000], [0.0000, 0.5000, 0.0000], [0.5000, 0.5000, 0.5000], [0.5000, 0.0000, 0.0000]]}

---

No. 2
{"formula": "TmZn4Si2", "functional": "PBE", "state": "relaxed", "energy_ev_per_atom": -3.123, "e_form_raw_ev_per_atom": -0.207, "lattice": [[-1.5647, -3.4997, -0.9160], [2.2925, -0.1817, -3.2218], [4.1552, -3.3171, 5.5755]], "species": ["Tm", "Zn", "Zn", "Zn", "Zn", "Si", "Si"], "frac_coords": [[0.0000, 0.0000, 0.0000], [0.5000, 0.8175, 0.6351], [0.0000, 0.6872, 0.3745], [0.5000, 0.1825, 0.3649], [0.0000, 0.3128, 0.6255], [0.5000, 0.5781, 0.1563], [0.5000, 0.4219, 0.8437]]}

---

No. 3
{"formula": "Tm2ZnSi", "functional": "PBE", "state": "relaxed", "energy_ev_per_atom": -4.483, "e_form_raw_ev_per_atom": -0.573, "lattice": [[0.2758, 3.1699, -2.6154], [-2.0567, -2.0861, -2.7453], [-4.6823, 0.3846, 3.2157]], "species": ["Tm", "Tm", "Zn", "Si"], "frac_coords": [[0.8051, 0.5000, 0.6102], [0.0889, 0.0000, 0.1778], [0.5191, 0.5000, 0.0383], [0.3714, 0.0000, 0.7428]]}